(1)
This record from the Alexandria database describes ZrZn2Sb after structural relaxation. The functional is GGA-PBE.

## Properties
The value obtained for the total energy is -3.788 eV/atom. The uncorrected formation energy is 0.016 eV/atom. For the size of the total moment, the calculation gives 0.00 μB/f.u. Its volume is 83 Å³/cell.

Lattice parameters (Å, degrees): 3.196 3.196 8.084 90.00 90.00 90.00
Space group P4/mmm (No. 123)
Symmetry-distinct sites (fractional):
Zr (0.000, 0.000, 0.000)
Zn (0.500, 0.500, 0.230)
Sb (0.000, 0.000, 0.500)



(2)
This record from the Alexandria database describes ErU5C6 after structural relaxation. The functional is GGA-PBE.

## Properties
The formation energy comes out at -0.17 eV per atom. The value obtained for the total energy is -9.862 eV/atom. For the size of the total moment, the calculation gives 0.00 μB/f.u. Its volume is 363 Å³/cell.

Lattice parameters (Å, degrees): 6.040 10.483 6.073 90.00 109.48 90.00
Space group C2/m (No. 12)
Symmetry-distinct sites (fractional):
Er (0.000, 0.000, 0.000)
U (0.000, 0.163, 0.500)
U (0.000, 0.332, 0.000)
U (0.000, 0.500, 0.500)
C (0.235, 0.500, 0.250)
C (0.241, 0.328, 0.741)



(3)
This record from the Alexandria database describes Cr2SiSb after structural relaxation. The functional is GGA-PBE.

## Properties
The energy relative to the lowest polymorph listed for this composition comes out at 0.3339 eV/atom. The value obtained for the total energy is -6.703 eV/atom. The uncorrected formation energy is 0.495 eV/atom. For the size of the total moment, the calculation gives 0.79 μB/f.u. Its volume is 262 Å³/cell.

Lattice parameters (Å, degrees): 6.401 6.401 6.401 90.00 90.00 90.00
Space group F-43m (No. 216)
Symmetry-distinct sites (fractional):
Cr (0.000, 0.000, 0.000)
Cr (0.250, 0.250, 0.250)
Si (0.250, 0.250, 0.750)
Sb (0.000, 0.000, 0.500)



(4)
This record from the Alexandria database describes ReTcS4 after structural relaxation. The functional is GGA-PBE.

## Properties
The energy relative to the lowest polymorph listed for this composition comes out at 0.0512 eV/atom. The value obtained for the total energy is -6.794 eV/atom. The uncorrected formation energy is -0.240 eV/atom. For the size of the total moment, the calculation gives 1.92 μB/f.u. Its volume is 193 Å³/cell.

Lattice parameters (Å, degrees): 5.775 5.776 5.775 90.00 90.28 90.00
Space group P2_1/c (No. 14)
Symmetry-distinct sites (fractional):
Re (0.000, 0.000, 0.000)
Tc (0.500, 0.000, 0.500)
S (0.122, 0.124, 0.625)
S (0.378, 0.621, 0.619)



(5)
This record from the Alexandria database describes Ca3AcSn12 after structural relaxation. The functional is GGA-PBE.

## Properties
The formation energy comes out at -0.41 eV per atom. The value obtained for the total energy is -4.044 eV/atom. For the size of the total moment, the calculation gives 0.00 μB/f.u. Its volume is 443 Å³/cell.

Lattice parameters (Å, degrees): 4.804 4.804 19.218 90.00 90.00 90.00
Space group P4/mmm (No. 123)
Symmetry-distinct sites (fractional):
Ca (0.000, 0.000, 0.000)
Ca (0.000, 0.000, 0.247)
Ac (0.000, 0.000, 0.500)
Sn (0.000, 0.500, 0.123)
Sn (0.000, 0.500, 0.368)
Sn (0.500, 0.500, 0.000)
Sn (0.500, 0.500, 0.246)
Sn (0.500, 0.500, 0.500)



(6)
This record from the Alexandria database describes SnGe3Mo after structural relaxation. The functional is GGA-PBE.

## Properties
The energy relative to the lowest polymorph listed for this composition comes out at 0.0000 eV/atom. The formation energy comes out at 0.41 eV per atom. The value obtained for the total energy is -5.327 eV/atom. For the size of the total moment, the calculation gives 0.00 μB/f.u. Its volume is 121 Å³/cell.

Lattice parameters (Å, degrees): 4.942 4.942 4.942 90.00 90.00 90.00
Space group Pm-3m (No. 221)
Symmetry-distinct sites (fractional):
Sn (0.000, 0.000, 0.000)
Ge (0.000, 0.500, 0.500)
Mo (0.500, 0.500, 0.500)



Look up the total energy of the second one. -9.862 eV/atom



The lowest volume belongs to which entry? ZrZn2Sb